No. 1
VASP calculation (meta-GGA SCAN) on a PBEsol-optimized structure of Ba2ZrIn.

Cell lengths 5.6582, 5.6430, 5.6582 Å; angles 59.91, 90.00, 120.09 degrees
With the nearest neighbours (Å) after each atom.
Sites, in units of the cell vectors:
Ba  0.0000  0.0000  0.0000  4 Zr 3.46, 4 Ba 3.46
Ba  0.2500  0.5000  0.2500  4 In 3.46, 4 Ba 3.46
In  0.5000  0.0000  0.5000  4 Zr 3.46, 4 Ba 3.46
Zr  0.7500  0.5000  0.7500  4 Ba 3.46, 4 In 3.46

- electronic total energy (eV per cell) = -142.43
- V (Å³/cell) = 127.4
- total moment (μB per formula unit) = 2.939
- ΔE_f (eV per atom) = 0.188


No. 2
VASP calculation (meta-GGA SCAN) on a PBEsol-optimized structure of ScSb2Rh.

Cell lengths 3.3084, 3.3084, 8.7929 Å; angles 79.16, 79.16, 60.00 degrees
With the nearest neighbours (Å) after each atom.
Sites, in units of the cell vectors:
Rh  0.0000  0.0000  0.0000  6 Sb 2.70
Sb  0.2591  0.2591  0.2226  3 Rh 2.70
Sb  0.7409  0.7409  0.7774  3 Rh 2.70
Sc  0.5000  0.5000  0.5000  6 Sb 3.05, 6 Sc 3.31

- electronic total energy (eV per cell) = -123.72
- V (Å³/cell) = 81.4
- total moment (μB per formula unit) = 0.000


No. 3
VASP calculation (meta-GGA SCAN) on a PBEsol-optimized structure of MgIrW2.

Cell lengths 2.7391, 4.3606, 5.2605 Å; angles 90.00, 103.44, 90.00 degrees
With the nearest neighbours (Å) after each atom.
Sites, in units of the cell vectors:
Ir  0.5000  0.5000  0.0000  2 Mg 2.63, 4 W 2.74, 2 Ir 2.74
Mg  0.5000  0.5000  0.5000  2 Ir 2.63, 2 Mg 2.74, 4 W 2.75
W  0.0079  0.0000  0.7483  4 W 2.60-2.74, 2 Ir 2.74, 2 Mg 2.75
W  0.9921  0.0000  0.2517  4 W 2.60-2.74, 2 Ir 2.74, 2 Mg 2.75

- electronic total energy (eV per cell) = -215.10
- V (Å³/cell) = 61.1
- total moment (μB per formula unit) = 0.000
- ΔE_f (eV per atom) = 0.087


No. 4
VASP calculation (meta-GGA SCAN) on a PBEsol-optimized structure of AsWSe2.

Cell lengths 3.1879, 3.1879, 8.7947 Å; angles 79.56, 79.56, 60.00 degrees
With the nearest neighbours (Å) after each atom.
Sites, in units of the cell vectors:
As  0.2410  0.2410  0.2770  3 W 2.61, 3 Se 2.74
Se  0.9866  0.9866  0.0402  3 As 2.74
Se  0.7697  0.7697  0.6909  3 W 2.51
W  0.5027  0.5027  0.4919  3 Se 2.51, 3 As 2.61

- electronic total energy (eV per cell) = -129.52
- V (Å³/cell) = 75.7
- total moment (μB per formula unit) = 0.000


No. 5
VASP calculation (meta-GGA SCAN) on a PBEsol-optimized structure of SbRhSeI2.

Cell lengths 5.0340, 5.2540, 5.2540 Å; angles 90.00, 90.00, 90.00 degrees
With the nearest neighbours (Å) after each atom.
Sites, in units of the cell vectors:
I  0.0000  0.0000  0.5000  2 Rh 2.63
I  0.0000  0.5000  0.0000  2 Rh 2.63
Sb  0.5000  0.0000  0.0000  2 Rh 2.52
Rh  0.0000  0.0000  0.0000  2 Sb 2.52, 4 I 2.63
Se  0.5000  0.5000  0.5000  8 I 3.64, 4 Sb 3.72

- electronic total energy (eV per cell) = -162.45
- V (Å³/cell) = 139.0
- total moment (μB per formula unit) = 0.000


No. 6
VASP calculation (meta-GGA SCAN) on a PBEsol-optimized structure of SbPBr2.

Cell lengths 4.3231, 4.5172, 4.5172 Å; angles 90.00, 90.00, 90.00 degrees
With the nearest neighbours (Å) after each atom.
Sites, in units of the cell vectors:
Sb  0.5000  0.0000  0.0000  8 Br 3.13, 4 P 3.19
Br  0.0000  0.0000  0.5000  4 P 3.13, 4 Sb 3.13, 4 Br 3.19
Br  0.0000  0.5000  0.0000  4 P 3.13, 4 Sb 3.13, 4 Br 3.19
P  0.5000  0.5000  0.5000  8 Br 3.13, 4 Sb 3.19

- electronic total energy (eV per cell) = -83.70
- E above lowest polymorph (meV/atom) = 314.7
- V (Å³/cell) = 88.2
- total moment (μB per formula unit) = 0.000


No. 7
VASP calculation (meta-GGA SCAN) on a PBEsol-optimized structure of TaNi2Ru.

Cell lengths 3.6790, 3.6790, 4.5779 Å; angles 113.69, 113.69, 90.00 degrees
With the nearest neighbours (Å) after each atom.
Sites, in units of the cell vectors:
Ru  0.0000  0.0000  0.0000  4 Ta 2.60, 8 Ni 2.63
Ni  0.7500  0.2500  0.5000  4 Ni 2.60, 4 Ta 2.63, 4 Ru 2.63
Ni  0.2500  0.7500  0.5000  4 Ni 2.60, 4 Ta 2.63, 4 Ru 2.63
Ta  0.5000  0.5000  0.0000  4 Ru 2.60, 8 Ni 2.63

- electronic total energy (eV per cell) = -134.87
- E above lowest polymorph (meV/atom) = 55.5
- V (Å³/cell) = 51.0
- total moment (μB per formula unit) = 1.127
- ΔE_f (eV per atom) = -0.278


No. 8
VASP calculation (meta-GGA SCAN) on a PBEsol-optimized structure of ScAsP.

Cell lengths 4.3630, 4.3630, 4.3630 Å; angles 60.00, 60.00, 60.00 degrees
With the nearest neighbours (Å) after each atom.
Sites, in units of the cell vectors:
Sc  0.0000  0.0000  0.0000  4 P 2.67
P  0.2500  0.2500  0.2500  4 Sc 2.67, 4 As 2.67
As  0.5000  0.5000  0.5000  4 P 2.67

- electronic total energy (eV per cell) = -46.01
- V (Å³/cell) = 58.7
- total moment (μB per formula unit) = 0.000
- ΔE_f (eV per atom) = -0.394